(1)
Density functional theory data (PBE) for crystalline YErTlTe3 at its relaxed geometry.

Structure (POSCAR):
```
YErTlTe3
1.0
2.156 2.299 7.306
-4.697 -4.585 -4.497
8.210 -8.729 0.324
Er Te Tl Y
2 6 2 2
direct
0.436 0.564 0.250
0.564 0.436 0.750
0.357 0.643 0.029
0.065 0.935 0.250
0.357 0.643 0.471
0.643 0.357 0.529
0.935 0.065 0.750
0.643 0.357 0.971
0.749 0.251 0.250
0.251 0.749 0.750
0.000 0.000 0.000
0.000 0.000 0.500
```

Output
Total energy   -4.78 eV per atom
Crystal system   orthorhombic

(2)
Density functional theory data (PBE) for crystalline AgHgPd2 at its relaxed geometry.

Structure (POSCAR):
```
AgHgPd2
1.0
-0.797 -0.969 4.415
-4.139 0.803 1.815
-2.735 -3.512 1.121
Ag Hg Pd
1 1 2
direct
0.750 0.750 0.750
0.500 0.500 0.500
0.000 0.000 0.000
0.250 0.250 0.250
```

Output
Crystal system   cubic
Formation energy   -75 meV per atom
Relative energy among the computed polymorphs   71 meV/atom

(3)
Density functional theory data (PBE) for crystalline PrTmGa2Pd4 at its relaxed geometry.

Structure (POSCAR):
```
PrTmGa2Pd4
1.0
4.423 0.000 0.000
-2.211 3.830 0.000
0.000 0.000 9.198
Ga Pd Pr Tm
2 4 1 1
direct
0.667 0.333 0.259
0.667 0.333 0.741
0.333 0.667 0.184
0.000 0.000 0.338
0.000 0.000 0.662
0.333 0.667 0.816
0.000 0.000 0.000
0.333 0.667 0.500
```

Output
Total energy   -5.37 eV per atom
Crystal system   hexagonal

(4)
Density functional theory data (PBE) for crystalline InGeAuSe3 at its relaxed geometry.

Structure (POSCAR):
```
InGeAuSe3
1.0
-2.661 4.873 -4.261
-3.456 1.431 -5.915
-9.365 -0.419 5.371
Au Ge In Se
2 2 2 6
direct
0.347 0.347 0.250
0.653 0.653 0.750
0.000 0.000 0.000
0.000 0.000 0.500
0.689 0.689 0.250
0.311 0.311 0.750
0.362 0.362 0.021
0.036 0.036 0.250
0.362 0.362 0.479
0.638 0.638 0.521
0.964 0.964 0.750
0.638 0.638 0.979
```

Output
Crystal system   orthorhombic
Relative energy among the computed polymorphs   75 meV/atom

no.,calculated density (Mg/m³)
1,6.91
2,12.66
3,9.32
4,7.28